Entry 1:
! PBE-GGA Ba2LaCl, relaxed; values from VASP
! Energy above the most stable polymorph in this dataset ... 453 meV per atom
! Uncorrected formation energy ... -0.302 eV per atom
&SYSTEM
  ibrav = 0, nat = 8, ntyp = 3
/
ATOMIC_SPECIES
Ba 137.33 Ba.upf
La 138.91 La.upf
Cl 35.45 Cl.upf
CELL_PARAMETERS angstrom
4.802 0.000 0.000
0.000 4.802 0.000
0.000 0.000 16.028
ATOMIC_POSITIONS crystal
Ba 0.000 0.000 0.000
Ba 0.000 0.500 0.250
Ba 0.500 0.000 0.750
Ba 0.500 0.500 0.500
La 0.000 0.000 0.500
La 0.500 0.500 0.000
Cl 0.000 0.500 0.750
Cl 0.500 0.000 0.250

Entry 2:
! PBE-GGA BaLa2Cl, relaxed; values from VASP
! Energy above the most stable polymorph in this dataset ... 183 meV per atom
! Uncorrected formation energy ... -0.522 eV per atom
&SYSTEM
  ibrav = 0, nat = 16, ntyp = 3
/
ATOMIC_SPECIES
Ba 137.33 Ba.upf
La 138.91 La.upf
Cl 35.45 Cl.upf
CELL_PARAMETERS angstrom
9.724 0.000 0.000
0.000 9.724 0.000
0.000 0.000 6.408
ATOMIC_POSITIONS crystal
Ba 0.000 0.000 0.000
Ba 0.000 0.500 0.250
Ba 0.500 0.000 0.750
Ba 0.500 0.500 0.500
La 0.151 0.250 0.625
La 0.250 0.651 0.875
La 0.250 0.849 0.375
La 0.349 0.250 0.125
La 0.651 0.750 0.125
La 0.750 0.151 0.375
La 0.750 0.349 0.875
La 0.849 0.750 0.625
Cl 0.000 0.000 0.500
Cl 0.000 0.500 0.750
Cl 0.500 0.000 0.250
Cl 0.500 0.500 0.000

Entry 3:
! PBE-GGA BaLa2Cl, relaxed; values from VASP
! Energy above the most stable polymorph in this dataset ... 82 meV per atom
! Uncorrected formation energy ... -0.623 eV per atom
&SYSTEM
  ibrav = 0, nat = 8, ntyp = 3
/
ATOMIC_SPECIES
Ba 137.33 Ba.upf
La 138.91 La.upf
Cl 35.45 Cl.upf
CELL_PARAMETERS angstrom
3.673 0.000 0.000
0.000 5.396 0.000
0.000 0.000 14.242
ATOMIC_POSITIONS crystal
Ba 0.000 0.000 0.000
Ba 0.500 0.500 0.500
La 0.000 0.500 0.207
La 0.000 0.500 0.793
La 0.500 0.000 0.293
La 0.500 0.000 0.707
Cl 0.000 0.000 0.500
Cl 0.500 0.500 0.000

- Which of these has the highest energy above the most stable polymorph in this dataset?
  Ba2LaCl

- What is the uncorrected formation energy in the first record?
  -0.302 eV per atom